[1]
First-principles (PBE) data for a relaxed structure of Li3NbCr, as listed in the Alexandria database.

Structure (POSCAR):
```
Li3NbCr
1.0
4.4737 0.0000 0.0000
0.0000 4.4737 0.0000
0.0000 0.0000 4.4737
Cr Nb Li
1 1 3
direct
0.0000 0.0000 0.0000
0.5000 0.5000 0.5000
0.0000 0.5000 0.0000
0.0000 0.0000 0.5000
0.5000 0.0000 0.0000
```

Summary:
energy relative to the elements	1.19	eV/atom
raw total energy	-19.5	eV/f.u.
energy above the most stable polymorph in this dataset	0.000	eV/atom
symmetry	Pm-3m (221)
DOS(E_F)	0.19	states/eV per atom

---

[2]
First-principles (PBE) data for a relaxed structure of LiNbCr3, as listed in the Alexandria database.

Structure (POSCAR):
```
LiNbCr3
1.0
4.0597 0.0000 0.0000
0.0000 4.0597 0.0000
0.0000 0.0000 4.0597
Cr Nb Li
3 1 1
direct
0.0000 0.5000 0.0000
0.0000 0.0000 0.5000
0.5000 0.0000 0.0000
0.5000 0.5000 0.5000
0.0000 0.0000 0.0000
```

Summary:
energy relative to the elements	1.23	eV/atom
raw total energy	-34.7	eV/f.u.
energy above the most stable polymorph in this dataset	0.000	eV/atom
symmetry	Pm-3m (221)
DOS(E_F)	1.35	states/eV per atom